No. 1
{"formula": "TlZn2P", "functional": "GGA-PBEsol", "state": "relaxed", "lattice": [[-1.7524, -0.9102, -3.0859], [-1.9678, -4.6667, 0.3191], [-5.0270, -0.0423, 0.6924]], "species": ["Zn", "Zn", "Tl", "P"], "frac_coords": [[0.2086, 0.7914, 0.7914], [0.7914, 0.2086, 0.2086], [0.0000, 0.5000, 0.5000], [0.5000, 0.0000, 0.0000]], "magnetic_moment_mub_per_cell": 0.000, "e_form_ev_per_atom": 0.247}

No. 2
{"formula": "ZrTlP4", "functional": "GGA-PBEsol", "state": "relaxed", "lattice": [[-0.0008, 3.4619, -3.9041], [-3.0713, -0.7497, -4.1511], [-4.1495, 3.0701, -0.7638]], "species": ["Zr", "P", "P", "P", "P", "Tl"], "frac_coords": [[0.0000, 0.0000, 0.0000], [0.3721, 0.3721, 0.3721], [0.3721, 0.3721, 0.8837], [0.8837, 0.3721, 0.3721], [0.3721, 0.8837, 0.3721], [0.7500, 0.7500, 0.7500]], "magnetic_moment_mub_per_cell": 0.000, "e_form_ev_per_atom": 0.150}

No. 3
{"formula": "ZrTl3P", "functional": "GGA-PBEsol", "state": "relaxed", "lattice": [[5.1290, 0.0000, 0.0000], [0.0000, 5.1290, 0.0000], [0.0000, 0.0000, 5.1290]], "species": ["Tl", "Tl", "Tl", "Zr", "P"], "frac_coords": [[0.0000, 0.5000, 0.0000], [0.5000, 0.0000, 0.0000], [0.0000, 0.0000, 0.5000], [0.5000, 0.5000, 0.5000], [0.0000, 0.0000, 0.0000]], "magnetic_moment_mub_per_cell": 0.361, "e_form_ev_per_atom": 0.815}

No. 4
{"formula": "Zr2TlP", "functional": "GGA-PBEsol", "state": "relaxed", "lattice": [[4.7788, 0.0000, 0.0000], [2.3894, 4.1385, 0.0000], [2.3894, 1.3795, 3.9019]], "species": ["Tl", "Zr", "Zr", "P"], "frac_coords": [[0.5000, 0.5000, 0.5000], [0.2500, 0.2500, 0.2500], [0.7500, 0.7500, 0.7500], [0.0000, 0.0000, 0.0000]], "magnetic_moment_mub_per_cell": 0.000, "e_form_ev_per_atom": -0.315}

No. 5
{"formula": "Zr2TlP", "functional": "GGA-PBEsol", "state": "relaxed", "lattice": [[-1.9987, -2.3631, 1.7919], [1.4868, -2.0470, 2.5278], [-1.7364, 3.7711, 6.6051]], "species": ["Zr", "Zr", "Tl", "P"], "frac_coords": [[0.2690, 0.2690, 0.1931], [0.7310, 0.7310, 0.8069], [0.5000, 0.5000, 0.5000], [0.0000, 0.0000, 0.0000]], "magnetic_moment_mub_per_cell": 0.000, "e_form_ev_per_atom": -0.860}

No. 6
{"formula": "Zr2TlP", "functional": "GGA-PBEsol", "state": "relaxed", "lattice": [[3.4033, 0.0171, 0.0212], [-0.6421, 4.8615, 0.0026], [-0.6421, -1.0153, 4.7543]], "species": ["P", "Zr", "Zr", "Tl"], "frac_coords": [[0.5000, 0.0000, 0.0000], [0.0000, 0.5000, 0.0000], [0.0000, 0.0000, 0.5000], [0.5000, 0.5000, 0.5000]], "magnetic_moment_mub_per_cell": 0.000, "e_form_ev_per_atom": -0.412}

No. 7
{"formula": "UP2", "functional": "GGA-PBEsol", "state": "relaxed", "lattice": [[-1.2867, -3.7845, -3.4775], [4.2840, -2.7703, 1.4297], [-5.5330, -0.2243, 6.3275]], "species": ["P", "P", "P", "P", "P", "P", "P", "P", "U", "U", "U", "U"], "frac_coords": [[0.3126, 0.3126, 0.6251], [0.4087, 0.4087, 0.2788], [0.9627, 0.4627, 0.9255], [0.4627, 0.9627, 0.9255], [0.8702, 0.8702, 0.2788], [0.4087, 0.8702, 0.2788], [0.8702, 0.4087, 0.2788], [0.8213, 0.8213, 0.6426], [0.4922, 0.4922, 0.9844], [0.7809, 0.2809, 0.5617], [0.0041, 0.0041, 0.0082], [0.2809, 0.7809, 0.5617]], "magnetic_moment_mub_per_cell": 3.892, "e_form_ev_per_atom": -0.803}

No. 8
{"formula": "U3P4", "functional": "GGA-PBEsol", "state": "relaxed", "lattice": [[-1.1717, 2.6484, -6.3116], [3.9116, -5.7090, -0.5749], [-6.0535, -1.6326, 2.9856]], "species": ["U", "U", "U", "U", "U", "U", "P", "P", "P", "P", "P", "P", "P", "P"], "frac_coords": [[0.2500, 0.3750, 0.1250], [0.6250, 0.2500, 0.8750], [0.8750, 0.7500, 0.6250], [0.3750, 0.6250, 0.7500], [0.1250, 0.8750, 0.2500], [0.7500, 0.1250, 0.3750], [0.5000, 0.3395, 0.5000], [0.5000, 0.8395, 0.5000], [0.8395, 0.0000, 0.0000], [0.0000, 0.5000, 0.8395], [0.3395, 0.0000, 0.0000], [0.0000, 0.5000, 0.3395], [0.1605, 0.1605, 0.6605], [0.6605, 0.6605, 0.1605]], "magnetic_moment_mub_per_cell": 8.895, "e_form_ev_per_atom": -0.916}

No. 9
{"formula": "UP", "functional": "GGA-PBEsol", "state": "relaxed", "lattice": [[-2.7009, -2.6469, 0.7699], [1.0195, -3.6653, 0.6476], [-0.2898, -1.4850, 3.5502]], "species": ["P", "U"], "frac_coords": [[0.5000, 0.5000, 0.5000], [0.0000, 0.0000, 0.0000]], "magnetic_moment_mub_per_cell": 1.500, "e_form_ev_per_atom": -0.859}

No. 10
{"formula": "UV5P3", "functional": "GGA-PBEsol", "state": "relaxed", "lattice": [[3.2625, 0.0000, 0.0000], [0.0000, 7.4446, 0.0004], [0.0000, -1.8370, 9.9966]], "species": ["V", "V", "V", "V", "V", "V", "V", "V", "V", "V", "P", "P", "P", "P", "P", "P", "U", "U"], "frac_coords": [[0.7500, 0.3766, 0.4995], [0.7500, 0.4714, 0.0923], [0.2500, 0.1292, 0.5132], [0.2500, 0.3157, 0.2688], [0.7500, 0.6843, 0.7312], [0.2500, 0.9257, 0.9050], [0.7500, 0.0743, 0.0950], [0.2500, 0.5286, 0.9077], [0.2500, 0.6234, 0.5005], [0.7500, 0.8708, 0.4868], [0.2500, 0.4312, 0.6713], [0.7500, 0.7488, 0.9905], [0.2500, 0.9024, 0.6642], [0.7500, 0.0976, 0.3358], [0.2500, 0.2512, 0.0095], [0.7500, 0.5688, 0.3287], [0.7500, 0.1930, 0.7807], [0.2500, 0.8070, 0.2193]], "magnetic_moment_mub_per_cell": 0.061, "e_form_ev_per_atom": -0.869}

No. 11
{"formula": "VP2", "functional": "GGA-PBEsol", "state": "relaxed", "lattice": [[-1.7653, 2.4980, 0.1753], [-2.3303, -0.0349, 3.8031], [3.4499, 4.0660, 3.5742]], "species": ["P", "P", "P", "P", "V", "V"], "frac_coords": [[0.3996, 0.8014, 0.3995], [0.6004, 0.1986, 0.6005], [0.1429, 0.7442, 0.9700], [0.8571, 0.2558, 0.0300], [0.8441, 0.6143, 0.6974], [0.1559, 0.3857, 0.3026]], "magnetic_moment_mub_per_cell": 0.000, "e_form_ev_per_atom": -0.717}

No. 12
{"formula": "V5P3", "functional": "GGA-PBEsol", "state": "relaxed", "lattice": [[4.7443, 0.0000, 0.0000], [0.0000, 6.8735, 0.0000], [0.0000, -3.4368, 5.9527]], "species": ["V", "V", "V", "V", "V", "V", "V", "V", "V", "V", "P", "P", "P", "P", "P", "P"], "frac_coords": [[0.2500, 0.7472, 0.7472], [0.0000, 0.3333, 0.6667], [0.7500, 0.7472, 0.0000], [0.7500, 0.2528, 0.2528], [0.7500, 0.0000, 0.7472], [0.2500, 0.2528, 0.0000], [0.5000, 0.6667, 0.3333], [0.0000, 0.6667, 0.3333], [0.2500, 0.0000, 0.2528], [0.5000, 0.3333, 0.6667], [0.2500, 0.3878, 0.3878], [0.2500, 0.6122, 0.0000], [0.2500, 0.0000, 0.6122], [0.7500, 0.3878, 0.0000], [0.7500, 0.0000, 0.3878], [0.7500, 0.6122, 0.6122]], "magnetic_moment_mub_per_cell": 0.001, "e_form_ev_per_atom": -0.876}

No. 13
{"formula": "VP4", "functional": "GGA-PBEsol", "state": "relaxed", "lattice": [[5.2090, -0.0265, 0.0000], [2.0044, 5.3819, 0.0000], [2.6045, -0.0133, 5.4460]], "species": ["P", "P", "P", "P", "P", "P", "P", "P", "V", "V"], "frac_coords": [[0.6345, 0.6754, 0.1819], [0.8164, 0.1754, 0.8181], [0.0536, 0.3090, 0.4401], [0.4936, 0.8090, 0.5599], [0.1836, 0.8246, 0.1819], [0.5064, 0.1910, 0.4401], [0.3655, 0.3246, 0.8181], [0.9464, 0.6910, 0.5599], [0.0609, 0.7500, 0.8782], [0.9391, 0.2500, 0.1218]], "magnetic_moment_mub_per_cell": 0.001, "e_form_ev_per_atom": -0.405}

No. 14
{"formula": "V3P", "functional": "GGA-PBEsol", "state": "relaxed", "lattice": [[-0.0155, -1.0379, 4.5730], [-1.3831, -8.8984, -2.0243], [9.1257, -1.3555, -0.2766]], "species": ["P", "P", "P", "P", "P", "P", "P", "P", "V", "V", "V", "V", "V", "V", "V", "V", "V", "V", "V", "V", "V", "V", "V", "V", "V", "V", "V", "V", "V", "V", "V", "V"], "frac_coords": [[0.2651, 0.2916, 0.4810], [0.7651, 0.0190, 0.7916], [0.2651, 0.7084, 0.5190], [0.2349, 0.2084, 0.0190], [0.7349, 0.4810, 0.7084], [0.7651, 0.9810, 0.2084], [0.2349, 0.7916, 0.9810], [0.7349, 0.5190, 0.2916], [0.9830, 0.4172, 0.0912], [0.9830, 0.5828, 0.9088], [0.0079, 0.8027, 0.7156], [0.5079, 0.7844, 0.3027], [0.4830, 0.4088, 0.9172], [0.7373, 0.8524, 0.9905], [0.5170, 0.9172, 0.5912], [0.4921, 0.6973, 0.7844], [0.4921, 0.3027, 0.2156], [0.2373, 0.4905, 0.6476], [0.4830, 0.5912, 0.0828], [0.9921, 0.2844, 0.8027], [0.2627, 0.0095, 0.8524], [0.7373, 0.1476, 0.0095], [0.0079, 0.1973, 0.2844], [0.5079, 0.2156, 0.6973], [0.7627, 0.6476, 0.5095], [0.5170, 0.0828, 0.4088], [0.9921, 0.7156, 0.1973], [0.0170, 0.0912, 0.5828], [0.0170, 0.9088, 0.4172], [0.7627, 0.3524, 0.4905], [0.2627, 0.9905, 0.1476], [0.2373, 0.5095, 0.3524]], "magnetic_moment_mub_per_cell": 0.001, "e_form_ev_per_atom": -0.719}

No. 15
{"formula": "P2W", "functional": "GGA-PBEsol", "state": "relaxed", "lattice": [[3.1512, 0.0000, 0.0000], [0.0000, 4.9479, 0.0000], [-1.5756, 0.0000, 5.5669]], "species": ["P", "P", "P", "P", "W", "W"], "frac_coords": [[0.2031, 0.7006, 0.4062], [0.7969, 0.2006, 0.5938], [0.9297, 0.8828, 0.8595], [0.0703, 0.3828, 0.1405], [0.5931, 0.9995, 0.1863], [0.4069, 0.4995, 0.8137]], "magnetic_moment_mub_per_cell": 0.000, "e_form_ev_per_atom": -0.457}

No. 16
{"formula": "P2W", "functional": "GGA-PBEsol", "state": "relaxed", "lattice": [[3.1470, 0.0000, 0.0000], [1.5735, 4.2280, -0.0020], [1.5735, 0.5899, 6.5003]], "species": ["W", "W", "P", "P", "P", "P"], "frac_coords": [[0.6577, 0.3908, 0.2937], [0.3423, 0.6092, 0.7063], [0.3615, 0.2525, 0.0245], [0.1011, 0.1970, 0.6008], [0.6385, 0.7475, 0.9755], [0.8989, 0.8030, 0.3992]], "magnetic_moment_mub_per_cell": 0.000, "e_form_ev_per_atom": -0.450}

No. 17
{"formula": "P3W4", "functional": "GGA-PBEsol", "state": "relaxed", "lattice": [[3.0554, 0.0000, 0.0000], [0.0000, 3.0554, 0.0000], [-1.5277, -1.5277, 10.4358]], "species": ["W", "W", "W", "W", "P", "P", "P"], "frac_coords": [[0.5692, 0.5692, 0.1383], [0.4308, 0.4308, 0.8617], [0.8383, 0.8383, 0.6767], [0.1617, 0.1617, 0.3233], [0.2863, 0.2863, 0.5726], [0.7137, 0.7137, 0.4274], [0.0000, 0.0000, 0.0000]], "magnetic_moment_mub_per_cell": 0.000, "e_form_ev_per_atom": -0.226}

No. 18
{"formula": "YP2W", "functional": "GGA-PBEsol", "state": "relaxed", "lattice": [[3.4263, 0.0000, 0.0000], [0.0000, 4.5972, 0.0000], [-1.7131, 0.0000, 4.6059]], "species": ["Y", "W", "P", "P"], "frac_coords": [[0.6588, 0.5000, 0.3176], [0.3805, 0.0000, 0.7610], [0.0801, 0.0000, 0.1602], [0.3769, 0.5000, 0.7538]], "magnetic_moment_mub_per_cell": 0.000, "e_form_ev_per_atom": -0.624}

No. 19
{"formula": "YP2W", "functional": "GGA-PBEsol", "state": "relaxed", "lattice": [[-1.3712, 0.8779, 3.3095], [-2.1412, -3.0018, -0.0909], [3.7338, -2.7322, 2.2717]], "species": ["W", "P", "P", "Y"], "frac_coords": [[0.5000, 0.5000, 0.0000], [0.0000, 0.0000, 0.0000], [0.5000, 0.5000, 0.5000], [0.0000, 0.0000, 0.5000]], "magnetic_moment_mub_per_cell": 0.000, "e_form_ev_per_atom": -0.444}

No. 20
{"formula": "YP2W", "functional": "GGA-PBEsol", "state": "relaxed", "lattice": [[3.5545, 0.0000, 0.0000], [-1.7773, 3.4126, 0.0022], [0.0000, -1.9204, 5.8016]], "species": ["P", "P", "Y", "W"], "frac_coords": [[0.7594, 0.5189, 0.7913], [0.2406, 0.4811, 0.2087], [0.0000, 0.0000, 0.5000], [0.5000, 0.0000, 0.0000]], "magnetic_moment_mub_per_cell": 0.008, "e_form_ev_per_atom": -0.724}

No. 21
{"formula": "YP2W", "functional": "GGA-PBEsol", "state": "relaxed", "lattice": [[-0.0942, -0.1647, 4.2824], [-1.2660, -3.8581, 1.9692], [3.1874, -2.3865, 2.1237]], "species": ["W", "P", "P", "Y"], "frac_coords": [[0.0000, 0.5000, 0.5000], [0.7343, 0.2657, 0.2657], [0.2657, 0.7343, 0.7343], [0.5000, 0.0000, 0.0000]], "magnetic_moment_mub_per_cell": 0.000, "e_form_ev_per_atom": -0.491}

No. 22
{"formula": "YP2W", "functional": "GGA-PBEsol", "state": "relaxed", "lattice": [[-2.3332, -0.8127, -2.1777], [2.2723, 0.2149, -2.5148], [1.4360, -5.7533, 3.0991]], "species": ["Y", "P", "P", "W"], "frac_coords": [[0.7957, 0.2957, 0.5914], [0.9703, 0.9703, 0.9407], [0.1868, 0.6868, 0.3736], [0.5472, 0.5472, 0.0944]], "magnetic_moment_mub_per_cell": 0.002, "e_form_ev_per_atom": -0.725}

No. 23
{"formula": "ZnPW2", "functional": "GGA-PBEsol", "state": "relaxed", "lattice": [[-2.6694, 0.5920, -0.8828], [-1.2857, -1.6991, -1.9276], [-4.3214, -4.9292, 5.0860]], "species": ["W", "W", "P", "Zn"], "frac_coords": [[0.7431, 0.7431, 0.7706], [0.2569, 0.2569, 0.2294], [0.0000, 0.0000, 0.0000], [0.5000, 0.5000, 0.5000]], "magnetic_moment_mub_per_cell": 0.000, "e_form_ev_per_atom": 0.171}

No. 24
{"formula": "ZrP2W", "functional": "GGA-PBEsol", "state": "relaxed", "lattice": [[-3.0266, 1.1322, 0.6633], [-1.1462, -3.6747, 1.0427], [1.3553, 0.8974, 4.6523]], "species": ["P", "P", "W", "Zr"], "frac_coords": [[0.5000, 0.0000, 0.7719], [0.5000, 0.0000, 0.2281], [0.5000, 0.5000, 0.5000], [0.0000, 0.5000, 0.0000]], "magnetic_moment_mub_per_cell": 0.000, "e_form_ev_per_atom": -0.477}

No. 25
{"formula": "ZrP2W", "functional": "GGA-PBEsol", "state": "relaxed", "lattice": [[-2.7322, 1.3579, -1.1508], [0.3555, -1.7314, -2.8870], [-1.9048, -4.1536, 4.2410]], "species": ["P", "P", "W", "Zr"], "frac_coords": [[0.2005, 0.7005, 0.4010], [0.9638, 0.9638, 0.9276], [0.5439, 0.5439, 0.0879], [0.7918, 0.2918, 0.5836]], "magnetic_moment_mub_per_cell": 0.000, "e_form_ev_per_atom": -0.911}